(1)
A plane-wave DFT calculation with SCAN was carried out for a crystal of LiBeNiSe2 relaxed with PBEsol.

Unit cell a=4.538 b=4.538 c=3.988 alpha=90.00 beta=90.00 gamma=90.00
Positions (direct):
Li: 0.000 0.000 0.000
Be: 0.500 0.500 0.500
Ni: 0.500 0.500 0.000
Se: 0.000 0.500 0.500
Se: 0.500 0.000 0.500

## Properties
- Formation energy from raw total energies: 0.423 eV per formula unit

***

(2)
A plane-wave DFT calculation with SCAN was carried out for a crystal of LaCr2Fe relaxed with PBEsol.

Unit cell a=2.940 b=2.940 c=7.297 alpha=90.00 beta=90.00 gamma=90.00
Positions (direct):
La: 0.000 0.000 0.000
Cr: 0.000 0.000 0.512
Cr: 0.500 0.500 0.336
Fe: 0.500 0.500 0.687

## Properties
- Relative energy among the computed polymorphs: 0 meV per atom
- Calculated formation energy: 1.19 eV/f.u.

***

(3)
A plane-wave DFT calculation with SCAN was carried out for a crystal of YCrGa2Ag relaxed with PBEsol.

Unit cell a=4.551 b=4.551 c=4.808 alpha=90.00 beta=90.00 gamma=90.00
Positions (direct):
Y: 0.000 0.000 0.000
Cr: 0.500 0.500 0.500
Ga: 0.000 0.500 0.500
Ga: 0.500 0.000 0.500
Ag: 0.500 0.500 0.000

## Properties
- Calculated formation energy: 0.31 eV/f.u.

***

(4)
A plane-wave DFT calculation with SCAN was carried out for a crystal of Fe3P relaxed with PBEsol.

Unit cell a=2.692 b=3.870 c=7.848 alpha=90.00 beta=90.00 gamma=90.00
Positions (direct):
Fe: 0.000 0.000 0.000
Fe: 0.000 0.500 0.229
Fe: 0.000 0.500 0.771
Fe: 0.500 0.000 0.271
Fe: 0.500 0.000 0.729
Fe: 0.500 0.500 0.500
P: 0.000 0.000 0.500
P: 0.500 0.500 0.000

## Properties
- Relative energy among the computed polymorphs: 255 meV per atom
- Calculated formation energy: -0.27 eV/f.u.

***

(5)
A plane-wave DFT calculation with SCAN was carried out for a crystal of NaInP2O7 relaxed with PBEsol.

Unit cell a=7.525 b=8.202 c=9.857 alpha=90.00 beta=112.11 gamma=90.00
Positions (direct):
Na: 0.214 0.022 0.213
Na: 0.214 0.478 0.713
Na: 0.786 0.522 0.287
Na: 0.786 0.978 0.787
In: 0.246 0.003 0.749
In: 0.246 0.497 0.249
In: 0.754 0.503 0.751
In: 0.754 0.997 0.251
P: 0.173 0.716 0.952
P: 0.173 0.784 0.452
P: 0.425 0.247 0.039
P: 0.425 0.253 0.539
P: 0.575 0.747 0.461
P: 0.575 0.753 0.961
P: 0.827 0.216 0.548
P: 0.827 0.284 0.048
O: 0.040 0.588 0.854
O: 0.040 0.912 0.354
O: 0.126 0.609 0.394
O: 0.126 0.891 0.894
O: 0.200 0.712 0.113
O: 0.200 0.788 0.613
O: 0.317 0.130 0.592
O: 0.317 0.370 0.092
O: 0.325 0.223 0.873
O: 0.325 0.277 0.373
O: 0.372 0.664 0.933
O: 0.372 0.836 0.433
O: 0.469 0.089 0.128
O: 0.469 0.411 0.628
O: 0.531 0.589 0.372
O: 0.531 0.911 0.872
O: 0.628 0.164 0.567
O: 0.628 0.336 0.067
O: 0.675 0.723 0.627
O: 0.675 0.777 0.127
O: 0.683 0.630 0.908
O: 0.683 0.870 0.408
O: 0.800 0.212 0.387
O: 0.800 0.288 0.887
O: 0.874 0.109 0.106
O: 0.874 0.391 0.606
O: 0.960 0.088 0.646
O: 0.960 0.412 0.146

## Properties
- Formation energy from raw total energies: -26.361 eV per formula unit

***

(6)
A plane-wave DFT calculation with SCAN was carried out for a crystal of Al5Ag7 relaxed with PBEsol.

Unit cell a=7.566 b=7.566 c=4.914 alpha=92.70 beta=92.70 gamma=43.38
Positions (direct):
Al: 0.000 0.000 0.000
Al: 0.103 0.567 0.849
Al: 0.167 0.160 0.654
Al: 0.433 0.897 0.151
Al: 0.840 0.833 0.346
Ag: 0.247 0.753 0.500
Ag: 0.330 0.325 0.358
Ag: 0.496 0.504 0.000
Ag: 0.600 0.066 0.858
Ag: 0.675 0.670 0.642
Ag: 0.756 0.244 0.500
Ag: 0.934 0.400 0.142

## Properties
- Relative energy among the computed polymorphs: 9 meV per atom
- Calculated formation energy: -1.03 eV/f.u.

***

(7)
A plane-wave DFT calculation with SCAN was carried out for a crystal of LiHgAs2 relaxed with PBEsol.

Unit cell a=3.576 b=4.231 c=10.955 alpha=90.00 beta=90.00 gamma=90.00
Positions (direct):
Li: 0.000 0.000 0.000
Li: 0.500 0.500 0.500
Hg: 0.000 0.500 0.208
Hg: 0.500 0.000 0.708
As: 0.000 0.000 0.484
As: 0.000 0.500 0.824
As: 0.500 0.000 0.324
As: 0.500 0.500 0.984

## Properties
- Calculated formation energy: -0.68 eV/f.u.

***

(8)
A plane-wave DFT calculation with SCAN was carried out for a crystal of YGaHPt2 relaxed with PBEsol.

Unit cell a=4.057 b=4.057 c=4.424 alpha=90.00 beta=90.00 gamma=90.00
Positions (direct):
Y: 0.000 0.000 0.000
Ga: 0.500 0.500 0.000
H: 0.500 0.500 0.500
Pt: 0.000 0.500 0.500
Pt: 0.500 0.000 0.500

***

(9)
A plane-wave DFT calculation with SCAN was carried out for a crystal of Be2InSb relaxed with PBEsol.

Unit cell a=6.223 b=6.223 c=8.883 alpha=90.00 beta=90.00 gamma=90.00
Positions (direct):
Be: 0.225 0.750 0.125
Be: 0.250 0.225 0.875
Be: 0.250 0.275 0.375
Be: 0.275 0.750 0.625
Be: 0.725 0.250 0.625
Be: 0.750 0.725 0.375
Be: 0.750 0.775 0.875
Be: 0.775 0.250 0.125
In: 0.000 0.000 0.500
In: 0.000 0.500 0.750
In: 0.500 0.000 0.250
In: 0.500 0.500 0.000
Sb: 0.000 0.000 0.000
Sb: 0.000 0.500 0.250
Sb: 0.500 0.000 0.750
Sb: 0.500 0.500 0.500

## Properties
- Relative energy among the computed polymorphs: 88 meV per atom
- Formation energy from raw total energies: 2.143 eV per formula unit

***

(10)
A plane-wave DFT calculation with SCAN was carried out for a crystal of Na2PRu relaxed with PBEsol.

Unit cell a=3.546 b=3.546 c=20.721 alpha=90.00 beta=90.00 gamma=90.00
Positions (direct):
Na: 0.243 0.250 0.125
Na: 0.250 0.743 0.375
Na: 0.250 0.757 0.875
Na: 0.257 0.250 0.625
Na: 0.743 0.750 0.625
Na: 0.750 0.243 0.875
Na: 0.750 0.257 0.375
Na: 0.757 0.750 0.125
P: 0.000 0.000 0.000
P: 0.000 0.500 0.250
P: 0.500 0.000 0.750
P: 0.500 0.500 0.500
Ru: 0.000 0.000 0.500
Ru: 0.000 0.500 0.750
Ru: 0.500 0.000 0.250
Ru: 0.500 0.500 0.000

## Properties
- Calculated formation energy: 1.48 eV/f.u.

***

(11)
A plane-wave DFT calculation with SCAN was carried out for a crystal of Sr3TaAu relaxed with PBEsol.

Unit cell a=5.802 b=5.802 c=5.802 alpha=90.00 beta=90.00 gamma=90.00
Positions (direct):
Sr: 0.000 0.000 0.500
Sr: 0.000 0.500 0.000
Sr: 0.500 0.000 0.000
Ta: 0.500 0.500 0.500
Au: 0.000 0.000 0.000

## Properties
- Calculated formation energy: 2.96 eV/f.u.

***

(12)
A plane-wave DFT calculation with SCAN was carried out for a crystal of SbAu5 relaxed with PBEsol.

Unit cell a=3.563 b=3.563 c=8.651 alpha=90.00 beta=90.00 gamma=90.00
Positions (direct):
Sb: 0.000 0.000 0.000
Au: 0.000 0.000 0.338
Au: 0.000 0.000 0.662
Au: 0.500 0.500 0.176
Au: 0.500 0.500 0.500
Au: 0.500 0.500 0.824

## Properties
- Formation energy from raw total energies: 0.288 eV per formula unit

***

(13)
A plane-wave DFT calculation with SCAN was carried out for a crystal of Rb2BiB2 relaxed with PBEsol.

Unit cell a=4.444 b=4.444 c=12.327 alpha=90.00 beta=90.00 gamma=90.00
Positions (direct):
Rb: 0.000 0.500 0.250
Rb: 0.000 0.500 0.750
Rb: 0.500 0.000 0.250
Rb: 0.500 0.000 0.750
Bi: 0.000 0.000 0.000
Bi: 0.500 0.500 0.500
B: 0.000 0.000 0.436
B: 0.000 0.000 0.564
B: 0.500 0.500 0.064
B: 0.500 0.500 0.936

## Properties
- Calculated formation energy: 4.52 eV/f.u.

***

(14)
A plane-wave DFT calculation with SCAN was carried out for a crystal of Ca2IrAu relaxed with PBEsol.

Unit cell a=4.198 b=4.198 c=9.147 alpha=90.00 beta=90.00 gamma=90.00
Positions (direct):
Ca: 0.000 0.000 0.000
Ca: 0.000 0.500 0.250
Ca: 0.500 0.000 0.750
Ca: 0.500 0.500 0.500
Ir: 0.000 0.000 0.500
Ir: 0.500 0.500 0.000
Au: 0.000 0.500 0.750
Au: 0.500 0.000 0.250

## Properties
- Calculated formation energy: -1.57 eV/f.u.

***

(15)
A plane-wave DFT calculation with SCAN was carried out for a crystal of Zr2CuHg relaxed with PBEsol.

Unit cell a=3.215 b=4.014 c=5.790 alpha=90.00 beta=90.00 gamma=90.00
Positions (direct):
Zr: 0.000 0.000 0.238
Zr: 0.000 0.000 0.762
Cu: 0.500 0.500 0.000
Hg: 0.500 0.500 0.500

## Properties
- Calculated formation energy: -0.84 eV/f.u.

***

(16)
A plane-wave DFT calculation with SCAN was carried out for a crystal of ZrPb2Au relaxed with PBEsol.

Unit cell a=7.149 b=7.149 c=7.149 alpha=90.00 beta=90.00 gamma=90.00
Positions (direct):
Zr: 0.000 0.000 0.000
Zr: 0.000 0.500 0.500
Zr: 0.500 0.000 0.500
Zr: 0.500 0.500 0.000
Pb: 0.250 0.250 0.250
Pb: 0.250 0.250 0.750
Pb: 0.250 0.750 0.250
Pb: 0.250 0.750 0.750
Pb: 0.750 0.250 0.250
Pb: 0.750 0.250 0.750
Pb: 0.750 0.750 0.250
Pb: 0.750 0.750 0.750
Au: 0.000 0.000 0.500
Au: 0.000 0.500 0.000
Au: 0.500 0.000 0.000
Au: 0.500 0.500 0.500

## Properties
- Relative energy among the computed polymorphs: 330 meV per atom
- Calculated formation energy: 0.49 eV/f.u.

***

(17)
A plane-wave DFT calculation with SCAN was carried out for a crystal of K2SrBe relaxed with PBEsol.

Unit cell a=7.048 b=11.396 c=4.399 alpha=90.00 beta=90.00 gamma=90.00
Positions (direct):
K: 0.250 0.250 0.000
K: 0.250 0.750 0.000
K: 0.750 0.250 0.000
K: 0.750 0.750 0.000
Sr: 0.000 0.000 0.500
Sr: 0.500 0.500 0.500
Be: 0.000 0.500 0.500
Be: 0.500 0.000 0.500

## Properties
- Calculated formation energy: 3.01 eV/f.u.

***

(18)
A plane-wave DFT calculation with SCAN was carried out for a crystal of NiSbI2Cl relaxed with PBEsol.

Unit cell a=5.071 b=5.071 c=5.033 alpha=90.00 beta=90.00 gamma=90.00
Positions (direct):
Ni: 0.000 0.000 0.000
Sb: 0.000 0.000 0.500
I: 0.000 0.500 0.000
I: 0.500 0.000 0.000
Cl: 0.500 0.500 0.500

## Properties
- Formation energy from raw total energies: 0.886 eV per formula unit

***

(19)
A plane-wave DFT calculation with SCAN was carried out for a crystal of AlCu2Tc relaxed with PBEsol.

Unit cell a=9.054 b=2.617 c=4.473 alpha=90.00 beta=104.35 gamma=90.00
Positions (direct):
Al: 0.000 0.000 0.000
Al: 0.500 0.500 0.000
Cu: 0.245 0.500 0.253
Cu: 0.255 0.000 0.747
Cu: 0.745 0.000 0.253
Cu: 0.755 0.500 0.747
Tc: 0.000 0.500 0.500
Tc: 0.500 0.000 0.500

## Properties
- Calculated formation energy: -0.21 eV/f.u.

***

(20)
A plane-wave DFT calculation with SCAN was carried out for a crystal of SiBiMo2 relaxed with PBEsol.

Unit cell a=4.134 b=4.134 c=18.284 alpha=90.00 beta=90.00 gamma=90.00
Positions (direct):
Si: 0.000 0.000 0.000
Si: 0.000 0.500 0.250
Si: 0.500 0.000 0.750
Si: 0.500 0.500 0.500
Bi: 0.000 0.000 0.500
Bi: 0.000 0.500 0.750
Bi: 0.500 0.000 0.250
Bi: 0.500 0.500 0.000
Mo: 0.167 0.250 0.125
Mo: 0.250 0.667 0.375
Mo: 0.250 0.833 0.875
Mo: 0.333 0.250 0.625
Mo: 0.667 0.750 0.625
Mo: 0.750 0.167 0.875
Mo: 0.750 0.333 0.375
Mo: 0.833 0.750 0.125

## Properties
- Formation energy from raw total energies: 3.006 eV per formula unit

***

Number 1: E -62.65 eV per cell. Number 2: E -96.82 eV per cell. Number 3: E -109.98 eV per cell. Number 4: E -130.11 eV per cell. Number 5: E -513.51 eV per cell. Number 6: E -259.36 eV per cell. Number 7: E -223.24 eV per cell. Number 8: E -190.72 eV per cell. Number 9: E -308.85 eV per cell. Number 10: E -208.68 eV per cell. Number 11: E -199.61 eV per cell. Number 12: E -382.76 eV per cell. Number 13: E -260.79 eV per cell. Number 14: E -322.30 eV per cell. Number 15: E -145.60 eV per cell. Number 16: E -1003.73 eV per cell. Number 17: E -80.55 eV per cell. Number 18: E -134.01 eV per cell. Number 19: E -146.85 eV per cell. Number 20: E -621.44 eV per cell.